A relaxed structure of Sm11In9Au4, computed with PBE.

POSCAR file:
```
Sm11In9Au4
1.0
3.8135 0.0000 0.0000
0.0000 12.4515 -5.2959
0.0000 0.0234 13.5309
Sm In Au
11 9 4
Direct
0.0000 0.6975 0.6975
0.0000 0.3025 0.3025
0.0000 0.0000 0.0000
0.0000 0.8380 0.1620
0.0000 0.0659 0.4122
0.0000 0.1620 0.8380
0.0000 0.9341 0.5878
0.0000 0.6305 0.3695
0.0000 0.3695 0.6305
0.0000 0.5878 0.9341
0.0000 0.4122 0.0659
0.5000 0.9315 0.7863
0.5000 0.0685 0.2137
0.5000 0.5000 0.5000
0.5000 0.3670 0.8427
0.5000 0.2137 0.0685
0.5000 0.7863 0.9315
0.5000 0.6330 0.1573
0.5000 0.1573 0.6330
0.5000 0.8427 0.3670
0.5000 0.2481 0.4483
0.5000 0.5517 0.7519
0.5000 0.4483 0.2481
0.5000 0.7519 0.5517
```

Summary:
Formation energy ... -0.62 eV/atom

---

A relaxed structure of CaLa3, computed with PBE.

POSCAR file:
```
CaLa3
1.0
5.4021 0.0000 0.0000
0.0000 3.7310 0.0222
0.0000 3.6996 7.5615
La Ca
3 1
Direct
0.5000 0.2353 0.2666
0.0000 0.5000 0.5000
0.5000 0.7647 0.7334
0.0000 0.0000 0.0000
```

Summary:
Formation energy ... 0.04 eV/atom

---

A relaxed structure of Pu3Ge2Ir, computed with PBE.

POSCAR file:
```
Pu3Ge2Ir
1.0
-2.4592 -3.0579 1.8756
-3.6521 -2.6414 -9.0948
8.9464 -7.9773 -1.2756
Pu Ge Ir
12 8 4
Direct
0.7500 0.9411 0.1281
0.2500 0.0589 0.8719
0.2500 0.4411 0.3719
0.2500 0.7256 0.2423
0.7500 0.5947 0.9522
0.7500 0.9053 0.4522
0.7500 0.2256 0.2577
0.2500 0.7744 0.7423
0.7500 0.5589 0.6281
0.2500 0.4053 0.0478
0.2500 0.0947 0.5478
0.7500 0.2744 0.7577
0.7500 0.2895 0.4991
0.7500 0.2105 0.9991
0.2500 0.7105 0.5009
0.7500 0.9821 0.6996
0.2500 0.7895 0.0009
0.7500 0.5179 0.1996
0.2500 0.4821 0.8004
0.2500 0.0179 0.3004
0.7500 0.8591 0.8887
0.7500 0.6409 0.3887
0.2500 0.3591 0.6113
0.2500 0.1409 0.1113
```

Summary:
Distance to the lowest polymorph of the same formula ... 0.0 meV/atom
Formation energy ... -0.47 eV/atom

---

A relaxed structure of Ce3PuTh2As6, computed with PBE.

POSCAR file:
```
Ce3PuTh2As6
1.0
7.3157 -0.0013 0.0007
-3.6572 6.3360 0.0007
-1.2201 -2.1125 6.9075
As Th Pu Ce
6 2 1 3
Direct
0.7531 0.7531 0.2506
0.2469 0.2469 0.7494
0.0833 0.4140 0.2502
0.4140 0.0833 0.2502
0.5860 0.9167 0.7498
0.9167 0.5860 0.7498
0.6664 0.3336 0.0000
0.3336 0.6664 0.0000
0.0000 0.0000 0.0000
0.8328 0.1672 0.5000
0.1672 0.8328 0.5000
0.5000 0.5000 0.5000
```

Summary:
Formation energy ... -1.37 eV/atom

---

A relaxed structure of Nd4SmSe7, computed with PBE.

POSCAR file:
```
Nd4SmSe7
1.0
-0.7377 -2.1756 -3.4008
3.1698 -4.5151 4.6771
-12.1347 -0.5387 2.9769
Se Nd Sm
7 4 1
Direct
0.6604 0.3207 0.0503
0.9594 0.9188 0.2156
0.7414 0.4829 0.3524
0.4981 0.9962 0.5009
0.3393 0.6787 0.9496
0.2617 0.5235 0.6490
0.0400 0.0801 0.7823
0.3005 0.6011 0.1901
0.6996 0.3993 0.8100
0.9999 0.9998 0.9991
0.1124 0.2248 0.4229
0.8871 0.7742 0.5779
```

Summary:
Energy relative to the elements, uncorrected ... -1.8812 eV/atom

---

A relaxed structure of Sc2WBr, computed with PBE.

POSCAR file:
```
Sc2WBr
1.0
3.3123 0.0000 0.0000
0.0000 3.3123 0.0000
0.0000 0.0000 7.7659
W Br Sc
1 1 2
Direct
0.5000 0.5000 0.2500
0.5000 0.5000 0.7500
0.0000 0.0000 0.4600
0.0000 0.0000 0.0400
```

Summary:
Energy relative to the elements, uncorrected ... -0.2254 eV/atom
Distance to the lowest polymorph of the same formula ... 45.1 meV/atom

---

A relaxed structure of K4RbNa2, computed with PBE.

POSCAR file:
```
K4RbNa2
1.0
7.0715 0.0000 0.0000
3.5357 6.1241 0.0000
3.5357 2.0414 10.2006
K Rb Na
4 1 2
Direct
0.5663 0.5663 0.3011
0.7241 0.7241 0.8276
0.4337 0.4337 0.6989
0.2759 0.2759 0.1724
0.0000 0.0000 0.0000
0.8549 0.8549 0.4354
0.1451 0.1451 0.5646
```

Summary:
Formation energy ... 0.04 eV/atom

---

A relaxed structure of Ac3InHg4, computed with PBE.

POSCAR file:
```
Ac3InHg4
1.0
4.1561 0.0000 0.0000
0.0000 9.4657 0.0000
-2.0781 -4.7329 6.9104
Ac Hg In
3 4 1
Direct
0.7991 0.7991 0.5983
0.2009 0.2009 0.4017
0.0000 0.5000 0.0000
0.6231 0.8541 0.2462
0.3769 0.1459 0.7538
0.3769 0.6079 0.7538
0.6231 0.3921 0.2462
0.5000 0.0000 0.0000
```

Summary:
Distance to the lowest polymorph of the same formula ... 93.2 meV/atom
Formation energy ... -0.35 eV/atom